[1]
{
  "formula": "MnZnPt2",
  "functional": "GGA-PBEsol",
  "state": "relaxed",
  "density_g_cm3": 15.024,
  "n_ef_per_ev_fu": 1.95,
  "total_energy_ev_per_fu": -26.52,
  "spacegroup": "Cm (8)",
  "magmom_total_mub_per_atom": 0.978,
  "cell": [[4.6308, -1.4225, 0.0000], [4.6308, 1.4225, 0.0000], [-1.2322, 0.0000, 4.2826]],
  "species": ["Mn", "Zn", "Pt", "Pt"],
  "fractional_positions": [[0.0000, 0.0000, 0.0000], [0.2554, 0.2554, 0.6672], [0.5092, 0.5092, 0.5060], [0.7452, 0.7452, 0.1580]]
}

=====

[2]
{
  "formula": "LaMgP2Cl",
  "functional": "GGA-PBEsol",
  "state": "relaxed",
  "density_g_cm3": 2.807,
  "n_ef_per_ev_fu": 2.58,
  "total_energy_ev_per_fu": -20.86,
  "spacegroup": "P4/mmm (123)",
  "e_form_raw_mev_per_atom": -40,
  "magmom_total_mub_per_atom": 0.000,
  "cell": [[5.3955, 0.0000, 0.0000], [0.0000, 5.3955, 0.0000], [0.0000, 0.0000, 5.2954]],
  "species": ["La", "Mg", "P", "P", "Cl"],
  "fractional_positions": [[0.0000, 0.0000, 0.0000], [0.5000, 0.5000, 0.5000], [0.0000, 0.5000, 0.0000], [0.5000, 0.0000, 0.0000], [0.0000, 0.0000, 0.5000]]
}

=====

[3]
{
  "formula": "TmGePd2",
  "functional": "GGA-PBEsol",
  "state": "relaxed",
  "density_g_cm3": 10.893,
  "n_ef_per_ev_fu": 1.27,
  "total_energy_ev_per_fu": -25.56,
  "spacegroup": "Pnma (62)",
  "magmom_total_mub_per_atom": 0.000,
  "cell": [[7.2035, 0.0000, 0.0000], [0.0000, 7.0270, 0.0000], [0.0000, 0.0000, 5.4738]],
  "species": ["Tm", "Tm", "Tm", "Tm", "Ge", "Ge", "Ge", "Ge", "Pd", "Pd", "Pd", "Pd", "Pd", "Pd", "Pd", "Pd"],
  "fractional_positions": [[0.0273, 0.2500, 0.1432], [0.4727, 0.7500, 0.6432], [0.5273, 0.2500, 0.3568], [0.9727, 0.7500, 0.8568], [0.1182, 0.7500, 0.3576], [0.3818, 0.2500, 0.8576], [0.6182, 0.7500, 0.1424], [0.8818, 0.2500, 0.6424], [0.1837, 0.0513, 0.5865], [0.1837, 0.4487, 0.5865], [0.3163, 0.5513, 0.0865], [0.3163, 0.9487, 0.0865], [0.6837, 0.0513, 0.9135], [0.6837, 0.4487, 0.9135], [0.8163, 0.5513, 0.4135], [0.8163, 0.9487, 0.4135]]
}